(1)
SrCl2: relaxed, GGA-PBE.

The density of states at the Fermi level is 0.00 states/eV/cell. For the total energy, the calculation gives -4.204 eV/atom.

It has space group Cmc2_1 (No. 36), with a = 4.094 Å, b = 12.324 Å, c = 6.821 Å, α = 90.00°, β = 90.00° and γ = 90.00°. Symmetry generates all atoms from Sr at (0.000, 0.118, 0.000), Cl at (0.000, 0.222, 0.586) and Cl at (0.000, 0.493, 0.771).


(2)
Sr3Cl5: relaxed, GGA-PBE.

The density of states at the Fermi level is 10.51 states/eV/cell. The relative energy among the computed polymorphs comes out at 0.007 eV/atom.

It has space group I4cm (No. 108), with a = 11.044 Å, b = 11.044 Å, c = 7.721 Å, α = 90.00°, β = 90.00° and γ = 90.00°. Symmetry generates all atoms from Sr at (0.000, 0.000, 0.000), Sr at (0.152, 0.348, 0.249), Cl at (0.000, 0.500, 0.000) and Cl at (0.077, 0.201, 0.750).


(3)
Sr8Cl: relaxed, GGA-PBE.

The density of states at the Fermi level is 18.10 states/eV/cell. For the total energy, the calculation gives -1.928 eV/atom.

It has space group I4/mmm (No. 139), with a = 14.367 Å, b = 14.367 Å, c = 4.425 Å, α = 90.00°, β = 90.00° and γ = 90.00°. Symmetry generates all atoms from Sr at (0.000, 0.339, 0.000), Sr at (0.153, 0.153, 0.500) and Cl at (0.000, 0.000, 0.000).


(4)
Sr4Cl5: relaxed, GGA-PBE.

The density of states at the Fermi level is 14.73 states/eV/cell. The relative energy among the computed polymorphs comes out at 0.158 eV/atom.

It has space group P6_3/mcm (No. 193), with a = 8.5732 Å, b = 8.5732 Å, c = 8.6351 Å, α = 90.00°, β = 90.00° and γ = 120.00°. Symmetry generates all atoms from Sr at (0.0000, 0.0000, 0.0000), Sr at (0.0000, 0.4212, 0.2500), Cl at (0.0000, 0.2385, 0.7500) and Cl at (0.3333, 0.6667, 0.0000).